Compound: AcB4Mo3O12
Source: Alexandria
Functional: GGA+U
Structure: relaxed

Lattice parameters (Å, degrees): 6.412 6.412 6.412 102.87 102.87 102.87
Fractional coordinates of all 20 atoms:
O (0.500, 0.361, 0.639)
O (0.639, 0.500, 0.361)
O (0.376, 0.968, 0.202)
O (0.500, 0.086, 0.914)
O (0.086, 0.914, 0.500)
O (0.032, 0.624, 0.798)
O (0.361, 0.639, 0.500)
O (0.202, 0.376, 0.968)
O (0.798, 0.032, 0.624)
O (0.968, 0.202, 0.376)
O (0.914, 0.500, 0.086)
O (0.624, 0.798, 0.032)
Mo (0.000, 0.551, 0.449)
Mo (0.449, 0.000, 0.551)
Mo (0.551, 0.449, 0.000)
B (0.946, 0.054, 0.500)
B (0.500, 0.946, 0.054)
B (0.054, 0.500, 0.946)
B (0.500, 0.500, 0.500)
Ac (0.000, 0.000, 0.000)

## Properties
The density of states at the Fermi level comes out at 0.000 states/eV per cell. As for the total energy: -7.9199 eV per atom.